# 1
Here is a crystal of AsPb2 relaxed with PBEsol from Alexandria. Energies are from meta-GGA SCAN.

Output
Calculated total energy in eV per atom: -57.152
ρ in g/cm3: 10.3
Total magnetic moment in μB/cell: 0.000

```
data_AsPb2
_chemical_formula_sum 'As4 Pb8'
_symmetry_space_group_name_H-M 'P 1'
_symmetry_Int_Tables_number 1
_symmetry_space_group_name_Hall 'P 1'
_cell_length_a 5.188
_cell_length_b 6.483
_cell_length_c 9.409
_cell_angle_alpha 90.00
_cell_angle_beta 90.00
_cell_angle_gamma 90.00
loop_
_atom_site_label
_atom_site_fract_x
_atom_site_fract_y
_atom_site_fract_z
Pb1 0.750 0.827 0.422
Pb2 0.750 0.970 0.800
Pb3 0.250 0.530 0.300
Pb4 0.750 0.327 0.078
Pb5 0.250 0.030 0.200
Pb6 0.750 0.470 0.700
Pb7 0.250 0.673 0.922
Pb8 0.250 0.173 0.578
As1 0.250 0.712 0.597
As2 0.250 0.212 0.903
As3 0.750 0.288 0.403
As4 0.750 0.788 0.097
```

# 2
Here is a crystal of Si2NiSnPt relaxed with PBEsol from Alexandria. Energies are from meta-GGA SCAN.

Output
Calculated total energy in eV per atom: -26.825
Formation energy without anion corrections in eV per atom: 1.639
ρ in g/cm3: 6.6
Total magnetic moment in μB/cell: 0.000

```
data_Si2NiSnPt
_chemical_formula_sum 'Si2 Ni1 Sn1 Pt1'
_symmetry_space_group_name_H-M 'P 1'
_symmetry_Int_Tables_number 1
_symmetry_space_group_name_Hall 'P 1'
_cell_length_a 4.503
_cell_length_b 4.895
_cell_length_c 4.895
_cell_angle_alpha 90.00
_cell_angle_beta 90.00
_cell_angle_gamma 90.00
loop_
_atom_site_label
_atom_site_fract_x
_atom_site_fract_y
_atom_site_fract_z
Sn1 0.000 0.000 0.000
Si1 0.000 0.500 0.000
Si2 0.000 0.000 0.500
Ni1 0.500 0.000 0.000
Pt1 0.500 0.500 0.500
```

# 3
Here is a crystal of TaCuHg2 relaxed with PBEsol from Alexandria. Energies are from meta-GGA SCAN.

Output
Calculated total energy in eV per atom: -53.943
ρ in g/cm3: 15.3
Total magnetic moment in μB/cell: 0.000

```
data_TaCuHg2
_chemical_formula_sum 'Ta1 Cu1 Hg2'
_symmetry_space_group_name_H-M 'P 1'
_symmetry_Int_Tables_number 1
_symmetry_space_group_name_Hall 'P 1'
_cell_length_a 4.154
_cell_length_b 4.154
_cell_length_c 5.005
_cell_angle_alpha 114.52
_cell_angle_beta 114.52
_cell_angle_gamma 90.00
loop_
_atom_site_label
_atom_site_fract_x
_atom_site_fract_y
_atom_site_fract_z
Ta1 0.500 0.500 0.000
Hg1 0.750 0.250 0.500
Hg2 0.000 0.000 0.000
Cu1 0.250 0.750 0.500
```

# 4
Here is a crystal of SrCaMn2O6 relaxed with PBEsol from Alexandria. Energies are from meta-GGA SCAN.

Output
Calculated total energy in eV per atom: -13.242
Formation energy without anion corrections in eV per atom: -2.658
ρ in g/cm3: 5.2
Total magnetic moment in μB/cell: 6.007

```
data_SrCaMn2O6
_chemical_formula_sum 'Sr1 Ca1 Mn2 O6'
_symmetry_space_group_name_H-M 'P 1'
_symmetry_Int_Tables_number 1
_symmetry_space_group_name_Hall 'P 1'
_cell_length_a 3.824
_cell_length_b 5.262
_cell_length_c 5.262
_cell_angle_alpha 90.81
_cell_angle_beta 90.00
_cell_angle_gamma 90.00
loop_
_atom_site_label
_atom_site_fract_x
_atom_site_fract_y
_atom_site_fract_z
Mn1 0.000 0.000 0.500
Mn2 0.000 0.500 0.000
O1 0.000 0.288 0.712
O2 0.000 0.712 0.288
O3 0.000 0.795 0.795
O4 0.500 0.000 0.500
O5 0.000 0.205 0.205
O6 0.500 0.500 0.000
Sr1 0.500 0.500 0.500
Ca1 0.500 0.000 0.000
```

# 5
Here is a crystal of Ba2ZrAg relaxed with PBEsol from Alexandria. Energies are from meta-GGA SCAN.

Output
Calculated total energy in eV per atom: -34.734
ρ in g/cm3: 6.3
Total magnetic moment in μB/cell: 3.380

```
data_Ba2ZrAg
_chemical_formula_sum 'Ba2 Zr1 Ag1'
_symmetry_space_group_name_H-M 'P 1'
_symmetry_Int_Tables_number 1
_symmetry_space_group_name_Hall 'P 1'
_cell_length_a 4.807
_cell_length_b 4.807
_cell_length_c 6.396
_cell_angle_alpha 112.07
_cell_angle_beta 112.07
_cell_angle_gamma 90.00
loop_
_atom_site_label
_atom_site_fract_x
_atom_site_fract_y
_atom_site_fract_z
Ba1 0.000 0.000 0.000
Ba2 0.750 0.250 0.500
Zr1 0.500 0.500 0.000
Ag1 0.250 0.750 0.500
```

# 6
Here is a crystal of ReP3O relaxed with PBEsol from Alexandria. Energies are from meta-GGA SCAN.

Output
Calculated total energy in eV per atom: -20.776
Formation energy without anion corrections in eV per atom: 0.929
ρ in g/cm3: 5.4
Total magnetic moment in μB/cell: 1.482

```
data_ReP3O
_chemical_formula_sum 'Re1 P3 O1'
_symmetry_space_group_name_H-M 'P 1'
_symmetry_Int_Tables_number 1
_symmetry_space_group_name_Hall 'P 1'
_cell_length_a 4.507
_cell_length_b 4.507
_cell_length_c 4.507
_cell_angle_alpha 90.00
_cell_angle_beta 90.00
_cell_angle_gamma 90.00
loop_
_atom_site_label
_atom_site_fract_x
_atom_site_fract_y
_atom_site_fract_z
P1 0.000 0.000 0.500
P2 0.500 0.000 0.000
P3 0.000 0.500 0.000
O1 0.500 0.500 0.500
Re1 0.000 0.000 0.000
```